## Eu3BiO (PBE-GGA)

Data for an optimized crystal structure of Eu3BiO.

Values from the calculation:
Volume: 26.01 Å³/atom
Uncorrected formation energy: -1.5576 eV per atom

Unit cell a=5.066 b=5.066 c=5.066 alpha=90.00 beta=90.00 gamma=90.00
Space group Pm-3m (No. 221)
One atom of each set of equivalent atoms:
1 Eu 0.000 0.000 0.500 (multiplicity 3)
2 Bi 0.500 0.500 0.500 (multiplicity 1)
3 O 0.000 0.000 0.000 (multiplicity 1)